[1]
A plane-wave DFT calculation with PBE was carried out for a geometry-optimized PmY5Tm structure.

The structure belongs to space group C2/c (No. 15); the cell edges are 8.763, 9.648 and 11.591 Å and the angles 90.00°, 110.67° and 90.00°. The distinct sites, in fractional coordinates, are Pm at (0.000, 0.245, 0.250), Y at (0.000, 0.407, 0.750), Y at (0.121, 0.069, 0.663), Y at (0.171, 0.400, 0.536) and Tm at (0.250, 0.250, 0.000).

The calculated volume is 917 Å³/cell. Its formation energy from the elements is 0.11 eV/atom. For the final energy, the calculation gives -5.82 eV per atom. For the density, the calculation gives 5.49 g/cm³.

[2]
A plane-wave DFT calculation with PBE was carried out for a geometry-optimized Pm6YTm6 structure.

The structure belongs to space group P6/mmm (No. 191); the cell edges are 6.7071, 6.7071 and 11.3521 Å and the angles 90.00°, 90.00° and 120.00°. The distinct sites, in fractional coordinates, are Pm at (0.0000, 0.0000, 0.1584), Pm at (0.3333, 0.6667, 0.0000), Pm at (0.3333, 0.6667, 0.5000), Y at (0.0000, 0.0000, 0.5000) and Tm at (0.0000, 0.5000, 0.2554).

The calculated volume is 442 Å³/cell. Its formation energy from the elements is 0.26 eV/atom. For the final energy, the calculation gives -4.50 eV per atom. For the density, the calculation gives 7.40 g/cm³.

[3]
A plane-wave DFT calculation with PBE was carried out for a geometry-optimized Pm8Y4Tm structure.

The structure belongs to space group R-3m (No. 166, hexagonal axes); the cell edges are 11.1582, 11.1582 and 13.5894 Å and the angles 90.00°, 90.00° and 120.00°. The distinct sites, in fractional coordinates, are Pm at (0.0000, 0.0000, 0.2412), Pm at (0.0109, 0.5054, 0.7464), Y at (0.0000, 0.0000, 0.0000), Y at (0.0000, 0.5000, 0.0000) and Tm at (0.0000, 0.0000, 0.5000).

The calculated volume is 1465 Å³/cell. Its formation energy from the elements is 0.49 eV/atom. For the final energy, the calculation gives -4.77 eV per atom. For the density, the calculation gives 5.73 g/cm³.

[4]
A plane-wave DFT calculation with PBE was carried out for a geometry-optimized Pm3Y5Tm4 structure.

The structure belongs to space group P-1 (No. 2); the cell edges are 6.168, 7.128 and 8.722 Å and the angles 90.04°, 90.05° and 90.17°. The distinct sites, in fractional coordinates, are Pm at (0.000, 0.000, 0.000), Pm at (0.165, 0.748, 0.666), Y at (0.000, 0.500, 0.000), Y at (0.333, 0.000, 0.334), Y at (0.499, 0.251, 0.000), Tm at (0.168, 0.252, 0.666) and Tm at (0.335, 0.500, 0.335).

The calculated volume is 384 Å³/cell. Its formation energy from the elements is 0.02 eV/atom. The distance to the lowest polymorph of the same formula comes out at 0.0000 eV per atom. For the final energy, the calculation gives -5.35 eV per atom. For the density, the calculation gives 6.73 g/cm³.